Here is a relaxed structure of LiScInPt from the Open Quantum Materials Database. Energies are from GGA-PBE.

```
LiScInPt
1.0
4.631 0.000 0.000
0.000 4.631 0.000
0.000 0.000 6.553
Li Sc In Pt
2 2 2 2
Direct
0.000 0.000 0.000
0.500 0.500 0.500
0.000 0.500 0.749
0.500 0.000 0.251
0.000 0.500 0.248
0.500 0.000 0.752
0.000 0.000 0.500
0.500 0.500 0.000
```

Computed properties:
SG: No. 115
E: -40.4 eV/cell
Magnetization: 0.0 μB per formula unit
Calculated density: 8.550 g cm⁻³


Here is a relaxed structure of Li2Sc2InSiPt2 from the Open Quantum Materials Database. Energies are from GGA-PBE.

```
Li2Sc2InSiPt2
1.0
4.480 0.000 0.000
0.000 4.480 0.000
0.000 0.000 6.456
Li Sc In Si Pt
2 2 1 1 2
Direct
0.000 0.500 0.229
0.500 0.000 0.771
0.000 0.000 0.000
0.500 0.500 0.500
0.000 0.000 0.500
0.500 0.500 0.000
0.000 0.500 0.772
0.500 0.000 0.228
```

Computed properties:
SG: No. 115
E: -43.5 eV/cell
Magnetization: 0.0 μB per formula unit
Calculated density: 8.160 g cm⁻³


Here is a relaxed structure of Li2ScZnIn2Pt2 from the Open Quantum Materials Database. Energies are from GGA-PBE.

```
Li2ScZnIn2Pt2
1.0
4.555 0.000 0.000
0.000 4.555 0.000
0.000 0.000 6.533
Li Sc Zn In Pt
2 1 1 2 2
Direct
0.000 0.500 0.220
0.500 0.000 0.780
0.000 0.000 0.500
0.500 0.500 0.000
0.000 0.000 0.000
0.500 0.500 0.500
0.000 0.500 0.751
0.500 0.000 0.249
```

Computed properties:
SG: No. 115
E: -34.2 eV/cell
Magnetization: 0.0 μB per formula unit
Calculated density: 9.115 g cm⁻³


Here is a relaxed structure of LiInSiPt from the Open Quantum Materials Database. Energies are from GGA-PBE.

```
LiInSiPt
1.0
0.000 3.181 3.181
3.181 0.000 3.181
3.181 3.181 0.000
Li In Si Pt
1 1 1 1
Direct
0.000 0.000 0.000
0.250 0.250 0.250
0.750 0.750 0.750
0.500 0.500 0.500
```

Computed properties:
SG: No. 216
Magnetization: 0.0 μB per formula unit
Distance to the lowest polymorph of the same formula: 0 meV per atom
Calculated density: 8.894 g cm⁻³


Here is a relaxed structure of Li4InSiPt2 from the Open Quantum Materials Database. Energies are from GGA-PBE.

```
Li4InSiPt2
1.0
4.227 0.000 0.000
0.000 4.227 0.000
0.000 0.000 6.391
Li In Si Pt
4 1 1 2
Direct
0.000 0.000 0.000
0.000 0.500 0.726
0.500 0.000 0.274
0.500 0.500 0.500
0.500 0.500 0.000
0.000 0.000 0.500
0.000 0.500 0.288
0.500 0.000 0.712
```

Computed properties:
SG: No. 115
E: -33.0 eV/cell
Magnetization: 0.0 μB per formula unit
Calculated density: 8.155 g cm⁻³


Here is a relaxed structure of LiInSiPt from the Open Quantum Materials Database. Energies are from GGA-PBE.

```
LiInSiPt
1.0
0.000 3.172 3.172
3.172 0.000 3.172
3.172 3.172 0.000
Li In Si Pt
1 1 1 1
Direct
0.000 0.000 0.000
0.750 0.750 0.750
0.500 0.500 0.500
0.250 0.250 0.250
```

Computed properties:
SG: No. 216
Magnetization: 0.0 μB per formula unit
Distance to the lowest polymorph of the same formula: 119 meV per atom
Calculated density: 8.970 g cm⁻³


Here is a relaxed structure of LiInSnPt from the Open Quantum Materials Database. Energies are from GGA-PBE.

```
LiInSnPt
1.0
0.000 3.340 3.340
3.340 0.000 3.340
3.340 3.340 0.000
Li In Sn Pt
1 1 1 1
Direct
0.000 0.000 0.000
0.250 0.250 0.250
0.750 0.750 0.750
0.500 0.500 0.500
```

Computed properties:
SG: No. 216
Magnetization: 0.0 μB per formula unit
Distance to the lowest polymorph of the same formula: 0 meV per atom
Calculated density: 9.703 g cm⁻³


Here is a relaxed structure of Li2Zn2InSnPt2 from the Open Quantum Materials Database. Energies are from GGA-PBE.

```
Li2Zn2InSnPt2
1.0
4.499 0.000 0.000
0.000 4.499 0.000
0.000 0.000 6.355
Li Zn In Sn Pt
2 2 1 1 2
Direct
0.000 0.500 0.249
0.500 0.000 0.751
0.000 0.000 0.000
0.500 0.500 0.500
0.500 0.500 0.000
0.000 0.000 0.500
0.000 0.500 0.745
0.500 0.000 0.255
```

Computed properties:
SG: No. 115
E: -29.4 eV/cell
Magnetization: 0.0 μB per formula unit
Calculated density: 9.917 g cm⁻³


Here is a relaxed structure of Li4TlInPt2 from the Open Quantum Materials Database. Energies are from GGA-PBE.

```
Li4TlInPt2
1.0
4.527 0.000 0.000
0.000 4.527 0.000
0.000 0.000 6.383
Li Tl In Pt
4 1 1 2
Direct
0.000 0.000 0.000
0.000 0.500 0.249
0.500 0.000 0.751
0.500 0.500 0.500
0.000 0.000 0.500
0.500 0.500 0.000
0.000 0.500 0.760
0.500 0.000 0.240
```

Computed properties:
SG: No. 115
E: -28.8 eV/cell
Magnetization: 0.0 μB per formula unit
Calculated density: 9.356 g cm⁻³


Here is a relaxed structure of Li4ZnInPt2 from the Open Quantum Materials Database. Energies are from GGA-PBE.

```
Li4ZnInPt2
1.0
4.351 0.000 0.000
0.000 4.351 0.000
0.000 0.000 6.293
Li Zn In Pt
4 1 1 2
Direct
0.000 0.000 0.000
0.000 0.500 0.724
0.500 0.000 0.276
0.500 0.500 0.500
0.000 0.000 0.500
0.500 0.500 0.000
0.000 0.500 0.265
0.500 0.000 0.735
```

Computed properties:
SG: No. 115
E: -28.2 eV/cell
Magnetization: 0.0 μB per formula unit
Calculated density: 8.336 g cm⁻³


Here is a relaxed structure of LiThInSe3 from the Open Quantum Materials Database. Energies are from GGA-PBE.

```
LiThInSe3
1.0
2.157 -7.033 0.000
2.157 7.033 0.000
0.000 0.000 11.232
Li Th In Se
2 2 2 6
Direct
0.040 0.960 0.750
0.960 0.040 0.250
0.500 0.500 0.000
0.500 0.500 0.500
0.238 0.762 0.250
0.762 0.238 0.750
0.132 0.868 0.556
0.132 0.868 0.944
0.437 0.563 0.750
0.563 0.437 0.250
0.868 0.132 0.056
0.868 0.132 0.444
```

Computed properties:
SG: No. 63
E: -59.9 eV/cell
Magnetization: 0.0 μB per formula unit
Calculated density: 5.755 g cm⁻³


Here is a relaxed structure of Li3TaIn from the Open Quantum Materials Database. Energies are from GGA-PBE.

```
Li3TaIn
1.0
9.024 0.000 0.000
-4.512 7.815 0.000
0.000 0.000 5.353
Li Ta In
6 2 2
Direct
0.157 0.313 0.250
0.157 0.843 0.250
0.313 0.157 0.750
0.687 0.843 0.250
0.843 0.157 0.750
0.843 0.687 0.750
0.333 0.667 0.250
0.667 0.333 0.750
0.000 0.000 0.000
0.000 0.000 0.500
```

Computed properties:
SG: No. 194
E: -25.7 eV/cell
Magnetization: 4.1 μB per formula unit
Calculated density: 2.785 g cm⁻³